No. 1
## Sr3ZrRh (GGA-PBE)

Data for a relaxed structure of Sr3ZrRh.

Calculated values
The polymorph energy (0 for the lowest one) is 0.0 meV per atom. For the formation energy, the calculation gives 43.0 kJ/mol of atoms.

```
Sr3ZrRh
1.0
5.7376 0.0000 0.0000
0.0000 5.7376 0.0000
0.0000 0.0000 5.7376
Sr Zr Rh
3 1 1
Direct
0.0000 0.0000 0.5000
0.0000 0.5000 0.0000
0.5000 0.0000 0.0000
0.5000 0.5000 0.5000
0.0000 0.0000 0.0000
```

=====

No. 2
## Na2SrPb2 (GGA-PBE)

Data for a relaxed structure of Na2SrPb2.

Calculated values
The polymorph energy (0 for the lowest one) is 42.2 meV per atom. For the formation energy, the calculation gives -22.2 kJ/mol of atoms.

```
Na2SrPb2
1.0
9.3118 0.0000 0.0000
0.0000 9.3118 0.0000
0.0000 0.0000 3.5445
Na Sr Pb
4 2 4
Direct
0.1157 0.3843 0.0000
0.3843 0.8843 0.0000
0.6157 0.1157 0.0000
0.8843 0.6157 0.0000
0.0000 0.0000 0.0000
0.5000 0.5000 0.0000
0.1823 0.6823 0.5000
0.3177 0.1823 0.5000
0.6823 0.8177 0.5000
0.8177 0.3177 0.5000
```

=====

No. 3
## ZrBi2Pt (GGA-PBE)

Data for a relaxed structure of ZrBi2Pt.

Calculated values
The polymorph energy (0 for the lowest one) is 210.1 meV per atom. For the formation energy, the calculation gives 18.6 kJ/mol of atoms.

```
ZrBi2Pt
1.0
3.4847 0.0000 0.0000
-1.7423 3.0178 0.0000
0.0000 0.0000 29.9584
Zr Bi Pt
3 6 3
Direct
0.0000 0.0000 0.0000
0.3333 0.6667 0.6667
0.6667 0.3333 0.3333
0.0000 0.0000 0.1003
0.0000 0.0000 0.8997
0.3333 0.6667 0.5664
0.3333 0.6667 0.7670
0.6667 0.3333 0.2330
0.6667 0.3333 0.4336
0.0000 0.0000 0.5000
0.3333 0.6667 0.1667
0.6667 0.3333 0.8333
```

=====

No. 4
## CaTiAsBr2 (GGA-PBE)

Data for a relaxed structure of CaTiAsBr2.

Calculated values
The polymorph energy (0 for the lowest one) is 854.5 meV per atom. As for the uncorrected formation energy: 34 meV per atom.

```
CaTiAsBr2
1.0
5.2848 0.0000 0.0000
0.0000 5.2848 0.0000
0.0000 0.0000 5.9155
Ca Ti As Br
1 1 1 2
Direct
0.0000 0.0000 0.0000
0.5000 0.5000 0.5000
0.0000 0.0000 0.5000
0.0000 0.5000 0.0000
0.5000 0.0000 0.0000
```

=====

No. 5
## NaBeBr3 (GGA-PBE)

Data for a relaxed structure of NaBeBr3.

Calculated values
The polymorph energy (0 for the lowest one) is 27.1 meV per atom. As for the uncorrected formation energy: -1193 meV per atom.

```
NaBeBr3
1.0
3.8044 0.0000 0.0000
0.0000 11.9127 3.3730
0.0000 -11.9127 3.3730
Na Be Br
2 2 6
Direct
0.2500 0.1768 0.8232
0.7500 0.8232 0.1768
0.2500 0.3190 0.5674
0.7500 0.5674 0.3190
0.2500 0.1065 0.5239
0.2500 0.4014 0.2400
0.2500 0.6416 0.8752
0.7500 0.2400 0.4014
0.7500 0.5239 0.1065
0.7500 0.8752 0.6416
```

=====

No. 6
## SbW3C (GGA-PBE)

Data for a relaxed structure of SbW3C.

Calculated values
The polymorph energy (0 for the lowest one) is 3484.0 meV per atom. As for the uncorrected formation energy: 3994 meV per atom.

```
SbW3C
1.0
4.8964 0.0000 0.0000
0.0000 4.8964 0.0000
0.0000 0.0000 4.8964
Sb W C
1 3 1
Direct
0.0000 0.0000 0.0000
0.0000 0.0000 0.5000
0.0000 0.5000 0.0000
0.5000 0.0000 0.0000
0.5000 0.5000 0.5000
```

=====

No. 7
## LiCeZrRh (GGA-PBE)

Data for a relaxed structure of LiCeZrRh.

Calculated values
For the formation energy, the calculation gives -18.6 kJ/mol of atoms.

```
LiCeZrRh
1.0
6.8502 0.0000 0.0000
0.0000 6.8502 0.0000
0.0000 0.0000 6.8502
Li Ce Zr Rh
4 4 4 4
Direct
0.0000 0.0000 0.0000
0.0000 0.5000 0.5000
0.5000 0.0000 0.5000
0.5000 0.5000 0.0000
0.2500 0.2500 0.7500
0.2500 0.7500 0.2500
0.7500 0.2500 0.2500
0.7500 0.7500 0.7500
0.2500 0.2500 0.2500
0.2500 0.7500 0.7500
0.7500 0.2500 0.7500
0.7500 0.7500 0.2500
0.0000 0.0000 0.5000
0.0000 0.5000 0.0000
0.5000 0.0000 0.0000
0.5000 0.5000 0.5000
```

=====

No. 8
## CaCo2Ag (GGA-PBE)

Data for a relaxed structure of CaCo2Ag.

Calculated values
For the formation energy, the calculation gives 15.1 kJ/mol of atoms.

```
CaCo2Ag
1.0
4.0809 0.0000 0.0000
-2.0404 3.5341 0.0000
0.0000 0.0000 15.8510
Ca Co Ag
3 6 3
Direct
0.0000 0.0000 0.0000
0.3333 0.6667 0.6667
0.6667 0.3333 0.3333
0.0000 0.0000 0.4629
0.0000 0.0000 0.7956
0.3333 0.6667 0.1295
0.3333 0.6667 0.4623
0.6667 0.3333 0.1289
0.6667 0.3333 0.7962
0.0000 0.0000 0.2034
0.3333 0.6667 0.8701
0.6667 0.3333 0.5368
```

=====

No. 9
## Na2PuSn (GGA-PBE)

Data for a relaxed structure of Na2PuSn.

Calculated values
For the formation energy, the calculation gives 23.3 kJ/mol of atoms.

```
Na2PuSn
1.0
3.3263 0.0000 0.0000
-1.6632 2.8807 0.0000
0.0000 0.0000 37.8227
Na Pu Sn
6 3 3
Direct
0.0000 0.0000 0.0931
0.0000 0.0000 0.9069
0.3333 0.6667 0.5736
0.3333 0.6667 0.7597
0.6667 0.3333 0.2403
0.6667 0.3333 0.4264
0.0000 0.0000 0.0000
0.3333 0.6667 0.6667
0.6667 0.3333 0.3333
0.0000 0.0000 0.5000
0.3333 0.6667 0.1667
0.6667 0.3333 0.8333
```

=====

No. 10
## K4Dy3PuSe8 (GGA-PBE)

Data for a relaxed structure of K4Dy3PuSe8.

Calculated values
As for the uncorrected formation energy: -1680 meV per atom.

```
K4Dy3PuSe8
1.0
4.2367 2.4461 7.6678
-4.2367 2.4461 7.6678
0.0000 -4.8921 7.6678
K Dy Pu Se
4 3 1 8
Direct
0.0000 0.0000 0.0000
0.0000 0.5000 0.5000
0.5000 0.0000 0.5000
0.5000 0.5000 0.0000
0.0000 0.0000 0.5000
0.0000 0.5000 0.0000
0.5000 0.0000 0.0000
0.5000 0.5000 0.5000
0.2312 0.7370 0.7370
0.2351 0.2351 0.2351
0.2630 0.2630 0.7688
0.2630 0.7688 0.2630
0.7370 0.2312 0.7370
0.7370 0.7370 0.2312
0.7649 0.7649 0.7649
0.7688 0.2630 0.2630
```

=====

No. 11
## LiTiO2 (GGA-PBE)

Data for a relaxed structure of LiTiO2.

Calculated values
As for the uncorrected formation energy: -2387 meV per atom.

```
LiTiO2
1.0
2.9621 0.0000 0.0000
-1.4811 2.5653 0.0000
0.0000 0.0000 17.3003
Li Ti O
3 3 6
Direct
0.0000 0.0000 0.0000
0.3333 0.6667 0.6667
0.6667 0.3333 0.3333
0.0000 0.0000 0.5000
0.3333 0.6667 0.1667
0.6667 0.3333 0.8333
0.0000 0.0000 0.1015
0.0000 0.0000 0.8985
0.3333 0.6667 0.5652
0.3333 0.6667 0.7681
0.6667 0.3333 0.2319
0.6667 0.3333 0.4348
```

=====

No. 12
## LiThAsS (GGA-PBE)

Data for a relaxed structure of LiThAsS.

Calculated values
As for the uncorrected formation energy: -1280 meV per atom.

```
LiThAsS
1.0
4.2910 0.0000 0.0000
0.0000 4.2910 0.0000
0.0000 0.0000 9.2635
Li Th As S
2 2 2 2
Direct
0.2500 0.7500 0.0000
0.7500 0.2500 0.0000
0.2500 0.2500 0.3082
0.7500 0.7500 0.6918
0.2500 0.2500 0.8286
0.7500 0.7500 0.1714
0.2500 0.7500 0.5000
0.7500 0.2500 0.5000
```

=====

No. 13
## Tc2Ir5Ru4 (GGA-PBE)

Data for a relaxed structure of Tc2Ir5Ru4.

Calculated values
For the formation energy, the calculation gives -5.9 kJ/mol of atoms.

```
Tc2Ir5Ru4
1.0
4.7187 0.0000 0.0000
-1.5646 5.8764 0.0000
-0.7890 -2.1183 5.6649
Tc Ir Ru
2 5 4
Direct
0.0923 0.3670 0.3198
0.9077 0.6330 0.6802
0.0000 0.0000 0.5000
0.2722 0.0914 0.9538
0.3595 0.4513 0.7668
0.6405 0.5487 0.2332
0.7278 0.9086 0.0462
0.1804 0.7255 0.1357
0.4540 0.8158 0.5924
0.5460 0.1842 0.4076
0.8196 0.2745 0.8643
```

=====

No. 14
## Ac2Ga3NiIr4 (GGA-PBE)

Data for a relaxed structure of Ac2Ga3NiIr4.

Calculated values
For the formation energy, the calculation gives -55.3 kJ/mol of atoms.

```
Ac2Ga3NiIr4
1.0
4.3325 0.0000 0.0000
0.0000 4.3325 0.0000
0.0000 0.0000 10.4284
Ac Ga Ni Ir
2 3 1 4
Direct
0.0000 0.5000 0.2495
0.5000 0.0000 0.7505
0.0000 0.0000 0.0000
0.0000 0.5000 0.6241
0.5000 0.0000 0.3759
0.5000 0.5000 0.0000
0.0000 0.0000 0.5000
0.0000 0.5000 0.8686
0.5000 0.0000 0.1314
0.5000 0.5000 0.5000
```

=====

No. 15
## KTiIn2 (GGA-PBE)

Data for a relaxed structure of KTiIn2.

Calculated values
The polymorph energy (0 for the lowest one) is 0.0 meV per atom. For the formation energy, the calculation gives 37.2 kJ/mol of atoms.

```
KTiIn2
1.0
7.4296 0.0000 0.0000
0.0000 7.4296 0.0000
0.0000 0.0000 7.4296
K Ti In
4 4 8
Direct
0.0000 0.0000 0.0000
0.0000 0.5000 0.5000
0.5000 0.0000 0.5000
0.5000 0.5000 0.0000
0.0000 0.0000 0.5000
0.0000 0.5000 0.0000
0.5000 0.0000 0.0000
0.5000 0.5000 0.5000
0.2500 0.2500 0.2500
0.2500 0.2500 0.7500
0.2500 0.7500 0.2500
0.2500 0.7500 0.7500
0.7500 0.2500 0.2500
0.7500 0.2500 0.7500
0.7500 0.7500 0.2500
0.7500 0.7500 0.7500
```

=====

No. 16
## La8CeDy3 (GGA-PBE)

Data for a relaxed structure of La8CeDy3.

Calculated values
For the formation energy, the calculation gives 44.9 kJ/mol of atoms.

```
La8CeDy3
1.0
-4.4014 4.4014 5.8532
4.4014 -4.4014 5.8532
4.4014 4.4014 -5.8532
La Ce Dy
8 1 3
Direct
0.1213 0.1213 0.7604
0.2127 0.2127 0.4674
0.2548 0.7873 0.0000
0.3609 0.3609 0.2396
0.6391 0.8787 0.0000
0.7452 0.7452 0.5326
0.7873 0.2548 0.0000
0.8787 0.6391 0.0000
0.0000 0.0000 0.0000
0.2500 0.7500 0.5000
0.5000 0.5000 0.0000
0.7500 0.2500 0.5000
```

=====

No. 17
## Nd2YAg6 (GGA-PBE)

Data for a relaxed structure of Nd2YAg6.

Calculated values
For the formation energy, the calculation gives -24.6 kJ/mol of atoms.

```
Nd2YAg6
1.0
8.3135 0.0000 0.0000
-4.1568 7.1997 0.0000
0.0000 0.0000 3.5282
Nd Y Ag
2 1 6
Direct
0.3333 0.6667 0.0000
0.6667 0.3333 0.0000
0.0000 0.0000 0.0000
0.0000 0.3314 0.5000
0.0000 0.6686 0.5000
0.3314 0.0000 0.5000
0.3314 0.3314 0.5000
0.6686 0.0000 0.5000
0.6686 0.6686 0.5000
```

=====

No. 18
## Ag3Pd3Au (GGA-PBE)

Data for a relaxed structure of Ag3Pd3Au.

Calculated values
The polymorph energy (0 for the lowest one) is 95.0 meV per atom. For the formation energy, the calculation gives 5.5 kJ/mol of atoms.

```
Ag3Pd3Au
1.0
4.6079 -4.6446 0.0000
4.6079 4.6446 0.0000
0.0000 0.0000 5.8684
Ag Pd Au
6 6 2
Direct
0.2161 0.2161 0.5000
0.2296 0.7704 0.0000
0.2308 0.2308 0.0000
0.7692 0.7692 0.0000
0.7704 0.2296 0.0000
0.7839 0.7839 0.5000
0.0000 0.5000 0.2511
0.0000 0.5000 0.7489
0.5000 0.0000 0.2511
0.5000 0.0000 0.7489
0.5000 0.5000 0.2519
0.5000 0.5000 0.7481
0.2360 0.7640 0.5000
0.7640 0.2360 0.5000
```

=====

No. 19
## CsBe2W (GGA-PBE)

Data for a relaxed structure of CsBe2W.

Calculated values
For the formation energy, the calculation gives 203.1 kJ/mol of atoms.

```
CsBe2W
1.0
6.5774 0.0000 0.0000
0.0000 6.5774 0.0000
0.0000 0.0000 6.5774
Cs Be W
4 8 4
Direct
0.0000 0.0000 0.0000
0.0000 0.5000 0.5000
0.5000 0.0000 0.5000
0.5000 0.5000 0.0000
0.2500 0.2500 0.2500
0.2500 0.2500 0.7500
0.2500 0.7500 0.2500
0.2500 0.7500 0.7500
0.7500 0.2500 0.2500
0.7500 0.2500 0.7500
0.7500 0.7500 0.2500
0.7500 0.7500 0.7500
0.0000 0.0000 0.5000
0.0000 0.5000 0.0000
0.5000 0.0000 0.0000
0.5000 0.5000 0.5000
```

=====

No. 20
## La2ZnBi (GGA-PBE)

Data for a relaxed structure of La2ZnBi.

Calculated values
The polymorph energy (0 for the lowest one) is 51.2 meV per atom. For the formation energy, the calculation gives -51.1 kJ/mol of atoms.

```
La2ZnBi
1.0
7.8268 0.0000 0.0000
0.0000 7.8268 0.0000
0.0000 0.0000 7.8268
La Zn Bi
8 4 4
Direct
0.2500 0.2500 0.2500
0.2500 0.2500 0.7500
0.2500 0.7500 0.2500
0.2500 0.7500 0.7500
0.7500 0.2500 0.2500
0.7500 0.2500 0.7500
0.7500 0.7500 0.2500
0.7500 0.7500 0.7500
0.0000 0.0000 0.0000
0.0000 0.5000 0.5000
0.5000 0.0000 0.5000
0.5000 0.5000 0.0000
0.0000 0.0000 0.5000
0.0000 0.5000 0.0000
0.5000 0.0000 0.0000
0.5000 0.5000 0.5000
```

=====

No. 21
## HoPuI6 (GGA-PBE)

Data for a relaxed structure of HoPuI6.

Calculated values
The polymorph energy (0 for the lowest one) is 51.4 meV per atom. As for the uncorrected formation energy: -1158 meV per atom.

```
HoPuI6
1.0
3.8271 2.2096 7.0393
-3.8271 2.2096 7.0393
0.0000 -4.4192 7.0393
Ho Pu I
1 1 6
Direct
0.0000 0.0000 0.0000
0.5000 0.5000 0.5000
0.0887 0.4039 0.7517
0.2483 0.9113 0.5961
0.4039 0.7517 0.0887
0.5961 0.2483 0.9113
0.7517 0.0887 0.4039
0.9113 0.5961 0.2483
```

=====

No. 22
## La6AgSn (GGA-PBE)

Data for a relaxed structure of La6AgSn.

Calculated values
For the formation energy, the calculation gives -23.5 kJ/mol of atoms.

```
La6AgSn
1.0
5.6781 0.0000 0.0000
0.0000 5.6781 0.0000
0.0000 0.0000 16.1582
La Ag Sn
12 2 2
Direct
0.0000 0.0000 0.2279
0.0000 0.0000 0.7721
0.0000 0.5000 0.1098
0.0000 0.5000 0.3902
0.0000 0.5000 0.6098
0.0000 0.5000 0.8902
0.5000 0.0000 0.1098
0.5000 0.0000 0.3902
0.5000 0.0000 0.6098
0.5000 0.0000 0.8902
0.5000 0.5000 0.2721
0.5000 0.5000 0.7279
0.0000 0.0000 0.5000
0.5000 0.5000 0.0000
0.0000 0.0000 0.0000
0.5000 0.5000 0.5000
```

=====

No. 23
## NaPmHgPb (GGA-PBE)

Data for a relaxed structure of NaPmHgPb.

Calculated values
For the formation energy, the calculation gives -37.9 kJ/mol of atoms.

```
NaPmHgPb
1.0
7.6175 0.0000 0.0000
0.0000 7.6175 0.0000
0.0000 0.0000 7.6175
Na Pm Hg Pb
4 4 4 4
Direct
0.0000 0.0000 0.0000
0.0000 0.5000 0.5000
0.5000 0.0000 0.5000
0.5000 0.5000 0.0000
0.0000 0.0000 0.5000
0.0000 0.5000 0.0000
0.5000 0.0000 0.0000
0.5000 0.5000 0.5000
0.2500 0.2500 0.2500
0.2500 0.7500 0.7500
0.7500 0.2500 0.7500
0.7500 0.7500 0.2500
0.2500 0.2500 0.7500
0.2500 0.7500 0.2500
0.7500 0.2500 0.2500
0.7500 0.7500 0.7500
```

=====

No. 24
## Te3Ir (GGA-PBE)

Data for a relaxed structure of Te3Ir.

Calculated values
As for the uncorrected formation energy: 34 meV per atom.

```
Te3Ir
1.0
12.4643 0.0000 0.0000
0.0000 3.9937 0.0000
-1.3154 0.0000 4.8420
Te Ir
6 2
Direct
0.0000 0.0000 0.0000
0.0743 0.5000 0.5695
0.2934 0.0000 0.1911
0.5000 0.5000 0.0000
0.5743 0.0000 0.5695
0.7934 0.5000 0.1911
0.1547 0.5000 0.1287
0.6547 0.0000 0.1287
```

=====

No. 25
## TiAlPd (GGA-PBE)

Data for a relaxed structure of TiAlPd.

Calculated values
For the formation energy, the calculation gives -56.5 kJ/mol of atoms.

```
TiAlPd
1.0
4.3938 0.0000 0.0000
-2.1969 3.8051 0.0000
0.0000 0.0000 2.8083
Ti Al Pd
1 1 1
Direct
0.0000 0.0000 0.0000
0.3333 0.6667 0.5000
0.6667 0.3333 0.5000
```